DFT (SCAN) results for a PBEsol-optimized structure of Cu3SiS.

* space group: Pm-3m, No. 221
* ΔE_f (raw): 640 meV per atom

Unit cell a=4.298 b=4.298 c=4.298 alpha=90.00 beta=90.00 gamma=90.00
Element x y z (fractional)
Cu (0.000, 0.000, 0.500)
Cu (0.000, 0.500, 0.000)
Cu (0.500, 0.000, 0.000)
Si (0.500, 0.500, 0.500)
S (0.000, 0.000, 0.000)